This record from Alexandria describes a geometry-optimized SrMgTlSn structure. The functional is PBE.

Values from the calculation:
The calculation puts the volume at 28.959 Å³ per atom. The spin magnetization comes out at 0.00 μB per atom. The value obtained for the electronic total energy is -43.40 eV/cell.

```
data_SrMgTlSn
_chemical_formula_sum 'Sr4 Mg4 Tl4 Sn4'
_cell_length_a 7.7381
_cell_length_b 7.7381
_cell_length_c 7.7381
_cell_angle_alpha 90.00
_cell_angle_beta 90.00
_cell_angle_gamma 90.00
_space_group_name_H-M_alt 'F -4 3 m'
_space_group_IT_number 216
_space_group_name_Hall 'F -4 2 3'
loop_
_atom_site_label
_atom_site_fract_x
_atom_site_fract_y
_atom_site_fract_z
Sr1 0.0000 0.0000 0.0000
Mg1 0.0000 0.0000 0.5000
Tl1 0.2500 0.2500 0.2500
Sn1 0.2500 0.2500 0.7500
```